GGA-PBE Ca2LaTcB, optimized geometry; energy relative to the elements = 0.74 eV per atom; DOS(E_F) = 1.194 states/eV per atom; total moment = 2.64 μB per cell; total DFT energy (no corrections) = -4.456 eV per atom
1.0
5.1927 0.0000 0.0000
0.0000 5.1927 0.0000
0.0000 0.0000 5.0688
Ca La Tc B
2 1 1 1
direct
0.0000 0.5000 0.0000
0.5000 0.0000 0.0000
0.0000 0.0000 0.5000
0.5000 0.5000 0.5000
0.0000 0.0000 0.0000

---

GGA-PBE SrCu2SnC, optimized geometry; energy relative to the elements = 0.57 eV per atom; DOS(E_F) = 0.619 states/eV per atom; total moment = 0.00 μB per cell; total DFT energy (no corrections) = -4.050 eV per atom
1.0
4.2519 0.0000 0.0000
0.0000 4.2519 0.0000
0.0000 0.0000 5.0800
Sr Cu Sn C
1 2 1 1
direct
0.0000 0.0000 0.0000
0.0000 0.5000 0.5000
0.5000 0.0000 0.5000
0.5000 0.5000 0.0000
0.0000 0.0000 0.5000

---

GGA-PBE SmPuHgIr, optimized geometry; energy relative to the elements = -0.33 eV per atom; DOS(E_F) = 2.555 states/eV per atom; total moment = 5.44 μB per cell; total DFT energy (no corrections) = -7.388 eV per atom
1.0
0.0000 3.6105 3.6105
3.6105 0.0000 3.6105
3.6105 3.6105 0.0000
Sm Pu Hg Ir
1 1 1 1
direct
0.0000 0.0000 0.0000
0.5000 0.5000 0.5000
0.2500 0.2500 0.2500
0.7500 0.7500 0.7500

---

GGA-PBE AcSbPt2, optimized geometry; polymorph energy (0 for the lowest one) = 0.310 eV/atom; DOS(E_F) = 0.529 states/eV per atom; total moment = 0.00 μB per cell; total DFT energy (no corrections) = -5.649 eV per atom; formation energy from raw total energies = -0.571 eV/atom
1.0
3.6958 0.0000 0.0000
0.0000 3.6958 0.0000
0.0000 0.0000 6.8574
Ac Sb Pt
1 1 2
direct
0.0000 0.0000 0.0000
0.0000 0.0000 0.5000
0.5000 0.5000 0.2888
0.5000 0.5000 0.7112

---

GGA-PBE Li2Tl2V, optimized geometry; energy relative to the elements = 0.21 eV per atom; DOS(E_F) = 0.906 states/eV per atom; total moment = 6.53 μB per cell; total DFT energy (no corrections) = -3.324 eV per atom
1.0
7.7992 0.0000 0.0000
0.0000 7.7992 0.0000
0.0000 0.0000 3.3101
Li Tl V
4 4 2
direct
0.1529 0.3471 0.0000
0.3471 0.8471 0.0000
0.6529 0.1529 0.0000
0.8471 0.6529 0.0000
0.1495 0.6495 0.5000
0.3505 0.1495 0.5000
0.6495 0.8505 0.5000
0.8505 0.3505 0.5000
0.0000 0.0000 0.5000
0.5000 0.5000 0.5000

---

GGA-PBE TaTe2P, optimized geometry; DOS(E_F) = 0.393 states/eV per atom; total moment = 0.00 μB per cell; total DFT energy (no corrections) = -6.152 eV per atom; formation energy from raw total energies = -0.266 eV/atom
1.0
8.7196 0.0000 0.0000
0.0000 6.3461 0.0000
-1.5332 0.0000 6.9662
Ta Te P
4 8 4
direct
0.0645 0.0182 0.3179
0.0645 0.4818 0.8179
0.9355 0.5182 0.1821
0.9355 0.9818 0.6821
0.2432 0.1588 0.7007
0.2432 0.3412 0.2007
0.3598 0.7044 0.9273
0.3598 0.7956 0.4273
0.6402 0.2044 0.5727
0.6402 0.2956 0.0727
0.7568 0.6588 0.7993
0.7568 0.8412 0.2993
0.0866 0.6738 0.5084
0.0866 0.8262 0.0084
0.9134 0.1738 0.9916
0.9134 0.3262 0.4916

---

GGA-PBE Ce5YHg6, optimized geometry; energy relative to the elements = -0.33 eV per atom; DOS(E_F) = 3.355 states/eV per atom; total moment = 6.94 μB per cell; total DFT energy (no corrections) = -3.487 eV per atom
1.0
-2.6480 3.9275 7.9356
2.6480 -3.9275 7.9356
2.6480 3.9275 -7.9356
Ce Y Hg
5 1 6
direct
0.0000 0.0000 0.0000
0.1580 0.6580 0.5000
0.3192 0.3192 0.0000
0.6808 0.6808 0.0000
0.8420 0.3420 0.5000
0.5000 0.0000 0.5000
0.1036 0.8382 0.2654
0.2771 0.5000 0.7771
0.4271 0.1618 0.2654
0.5729 0.8382 0.7346
0.7229 0.5000 0.2229
0.8964 0.1618 0.7346

---

GGA-PBE NdBe2Pt2N, optimized geometry; DOS(E_F) = 0.118 states/eV per atom; total moment = 0.00 μB per cell; total DFT energy (no corrections) = -6.488 eV per atom; formation energy from raw total energies = -1.050 eV/atom
1.0
-1.9443 1.9443 5.6453
1.9443 -1.9443 5.6453
1.9443 1.9443 -5.6453
Nd Be Pt N
1 2 2 1
direct
0.0000 0.0000 0.0000
0.3597 0.3597 0.0000
0.6403 0.6403 0.0000
0.2500 0.7500 0.5000
0.7500 0.2500 0.5000
0.5000 0.5000 0.0000

---

Among the records above, which one has the lowest DOS(E_F)? NdBe2Pt2N

---

The highest total DFT energy (no corrections) belongs to which entry? Li2Tl2V

---

Look up the DOS(E_F) of the eighth one. 0.118 states/eV per atom

---

What did the first record say?
GGA-PBE Ca2LaTcB, optimized geometry; energy relative to the elements = 0.74 eV per atom; DOS(E_F) = 1.194 states/eV per atom; total moment = 2.64 μB per cell; total DFT energy (no corrections) = -4.456 eV per atom
1.0
5.1927 0.0000 0.0000
0.0000 5.1927 0.0000
0.0000 0.0000 5.0688
Ca La Tc B
2 1 1 1
direct
0.0000 0.5000 0.0000
0.5000 0.0000 0.0000
0.0000 0.0000 0.5000
0.5000 0.5000 0.5000
0.0000 0.0000 0.0000